Computed, not measured: a geometry-optimized ZnNiAsO4 structure at the PBE with a Hubbard U level of DFT.

Results
Total DFT energy (no corrections) = -5.108 eV/atom

The structure in CIF format:
```
data_ZnNiAsO4
_space_group_name_H-M_alt 'C m c m'
_space_group_IT_number 63
_space_group_name_Hall '-C 2c 2'
_cell_length_a 5.7715
_cell_length_b 9.1394
_cell_length_c 6.2336
_cell_angle_alpha 90.00
_cell_angle_beta 90.00
_cell_angle_gamma 90.00
loop_
_atom_site_label
_atom_site_type_symbol
_atom_site_fract_x
_atom_site_fract_y
_atom_site_fract_z
Zn1 Zn 0.0000 0.1587 0.2500
Ni1 Ni 0.0000 0.5000 0.0000
As1 As 0.0000 0.1525 0.7500
O1 O 0.0000 0.2718 0.5180
O2 O 0.2450 0.0100 0.7500
```